# 1
EuGa2Ge4: optimized geometry, PBE-GGA.

Computed properties:
The distance to the lowest polymorph of the same formula comes out at 0.0 meV per atom. For the volume, the calculation gives 22.7 Å³/atom. For the energy relative to the elements, the calculation gives -1.6 eV/f.u. As for the space group: No. 63.

The structure in POSCAR format:
```
EuGa2Ge4
1.0
-3.0776 4.4696 -2.5549
-0.4713 -3.7312 4.6725
6.4895 8.9092 7.7690
Eu Ga Ge
2 4 8
direct
0.7889 0.2111 0.7500
0.2111 0.7889 0.2500
0.0657 0.9343 0.6576
0.9343 0.0657 0.3424
0.0657 0.9343 0.8424
0.9343 0.0657 0.1576
0.2544 0.7456 0.5540
0.7456 0.2544 0.4460
0.2544 0.7456 0.9460
0.7456 0.2544 0.0540
0.4742 0.5258 0.5913
0.5258 0.4742 0.4087
0.4742 0.5258 0.9087
0.5258 0.4742 0.0913
```



# 2
LiAlOs: optimized geometry, PBE-GGA.

Computed properties:
The distance to the lowest polymorph of the same formula comes out at 146.4 meV per atom. For the volume, the calculation gives 13.3 Å³/atom. For the energy relative to the elements, the calculation gives -0.1 eV/f.u. As for the space group: No. 107.

The structure in POSCAR format:
```
LiAlOs
1.0
-1.4137 -4.3863 -0.3819
0.9237 -2.6071 -3.7060
2.1254 2.8076 2.9973
Al Li Os
1 1 1
direct
0.0054 0.0054 0.0000
0.3293 0.3293 0.0000
0.6652 0.6652 0.0000
```



# 3
Ce2Co5C2: optimized geometry, PBE-GGA.

Computed properties:
For the volume, the calculation gives 14.0 Å³/atom. For the energy relative to the elements, the calculation gives -0.1 eV/f.u. As for the space group: No. 12.

The structure in POSCAR format:
```
Ce2Co5C2
1.0
3.5871 0.0000 0.0000
-1.7936 5.3930 -0.8516
0.0000 -1.7655 6.7936
Ce Co C
2 5 2
direct
0.4045 0.8091 0.6611
0.5955 0.1909 0.3389
0.3246 0.6493 0.9954
0.6754 0.3507 0.0046
0.1160 0.2319 0.6242
0.8840 0.7681 0.3758
0.0000 0.0000 0.0000
0.1353 0.2706 0.9001
0.8647 0.7294 0.0999
```



# 4
PrHo5In4: optimized geometry, PBE-GGA.

Computed properties:
For the volume, the calculation gives 27.7 Å³/atom. For the energy relative to the elements, the calculation gives -3.7 eV/f.u. As for the space group: No. 123.

The structure in POSCAR format:
```
PrHo5In4
1.0
-1.3201 0.5044 3.2548
-0.6050 -3.4840 0.2945
20.0483 -2.7582 8.5587
Pr Ho In
1 5 4
direct
0.0000 0.0000 0.0000
0.5000 0.5000 0.1199
0.5000 0.5000 0.3093
0.5000 0.5000 0.5000
0.5000 0.5000 0.6907
0.5000 0.5000 0.8801
0.0000 0.0000 0.2138
0.0000 0.0000 0.4047
0.0000 0.0000 0.5953
0.0000 0.0000 0.7862
```



# 5
Al3Zn3In: optimized geometry, PBE-GGA.

Computed properties:
For the volume, the calculation gives 25.5 Å³/atom. For the energy relative to the elements, the calculation gives 3.6 eV/f.u. As for the space group: No. 223.

The structure in POSCAR format:
```
Al3Zn3In
1.0
7.0945 0.0000 0.0000
0.0000 7.0945 0.0000
0.0000 0.0000 7.0945
Zn Al In
6 6 2
direct
0.2500 0.0000 0.5000
0.0000 0.5000 0.2500
0.5000 0.7500 0.0000
0.7500 0.0000 0.5000
0.0000 0.5000 0.7500
0.5000 0.2500 0.0000
0.0000 0.2500 0.5000
0.0000 0.7500 0.5000
0.5000 0.0000 0.7500
0.7500 0.5000 0.0000
0.5000 0.0000 0.2500
0.2500 0.5000 0.0000
0.5000 0.5000 0.5000
0.0000 0.0000 0.0000
```



# 6
FeTe6Ir2: optimized geometry, PBE-GGA.

Computed properties:
The energy relative to the elements, uncorrected comes out at -0.158 eV per atom. For the volume, the calculation gives 24.5 Å³/atom. As for the space group: No. 164.

The structure in POSCAR format:
```
FeTe6Ir2
1.0
5.4563 0.0000 0.0000
0.0000 10.2551 -5.9208
0.0000 0.0000 11.8416
Fe Te Ir
3 18 6
direct
0.5096 0.6667 0.3333
0.4904 0.3333 0.6667
0.0000 0.0000 0.0000
0.2741 0.8993 0.4497
0.2741 0.5503 0.1007
0.2741 0.5503 0.4497
0.7259 0.4497 0.5503
0.7259 0.4497 0.8993
0.7259 0.1007 0.5503
0.7370 0.4353 0.2176
0.7370 0.7824 0.5647
0.7370 0.7824 0.2176
0.7531 0.7793 0.8897
0.7531 0.1103 0.2207
0.7531 0.1103 0.8897
0.2469 0.8897 0.1103
0.2469 0.8897 0.7793
0.2469 0.2207 0.1103
0.2630 0.5647 0.7824
0.2630 0.2176 0.4353
0.2630 0.2176 0.7824
0.0000 0.0000 0.3371
0.0000 0.6629 0.6629
0.0000 0.3371 0.0000
0.0000 0.0000 0.6629
0.0000 0.3371 0.3371
0.0000 0.6629 0.0000
```



# 7
Pm3Ho2Tm5: optimized geometry, PBE-GGA.

Computed properties:
The distance to the lowest polymorph of the same formula comes out at 147.2 meV per atom. For the volume, the calculation gives 33.7 Å³/atom. For the energy relative to the elements, the calculation gives 3.4 eV/f.u. As for the space group: No. 72.

The structure in POSCAR format:
```
Pm3Ho2Tm5
1.0
-1.7251 -5.0286 3.2883
-0.9070 -8.2893 -7.2105
8.9449 -3.3582 5.4988
Pm Ho Tm
6 4 10
direct
0.2500 0.0000 0.0000
0.7500 0.0000 0.0000
0.3418 0.4042 0.9122
0.6582 0.5958 0.0878
0.8418 0.9122 0.4042
0.1582 0.0878 0.5958
0.1034 0.7407 0.0525
0.8966 0.2593 0.9475
0.6034 0.0525 0.7407
0.3966 0.9475 0.2593
0.2500 0.5000 0.5000
0.7500 0.5000 0.5000
0.5035 0.7465 0.7465
0.9965 0.2535 0.2535
0.4965 0.2535 0.2535
0.0035 0.7465 0.7465
0.0975 0.5578 0.2472
0.9025 0.4422 0.7528
0.5975 0.2472 0.5578
0.4025 0.7528 0.4422
```



# 8
TaNiCl: optimized geometry, PBE-GGA.

Computed properties:
The distance to the lowest polymorph of the same formula comes out at 847.0 meV per atom. The energy relative to the elements, uncorrected comes out at 0.755 eV per atom. For the volume, the calculation gives 15.4 Å³/atom. As for the space group: No. 216.

The structure in POSCAR format:
```
TaNiCl
1.0
4.0235 0.0000 0.0000
2.0118 3.4845 0.0000
2.0118 1.1615 3.2852
Cl Ni Ta
1 1 1
direct
0.7500 0.7500 0.7500
0.0000 0.0000 0.0000
0.5000 0.5000 0.5000
```



# 9
Na2ZnIn2: optimized geometry, PBE-GGA.

Computed properties:
The distance to the lowest polymorph of the same formula comes out at 169.9 meV per atom. For the volume, the calculation gives 27.1 Å³/atom. For the energy relative to the elements, the calculation gives 0.8 eV/f.u. As for the space group: No. 127.

The structure in POSCAR format:
```
Na2ZnIn2
1.0
-2.2585 -0.8418 7.0690
-6.6440 -2.4142 -2.4102
1.6615 -4.5604 -0.0122
Na Zn In
4 2 4
direct
0.3546 0.8546 0.0000
0.8546 0.6454 0.0000
0.6454 0.1454 0.0000
0.1454 0.3546 0.0000
0.0000 0.0000 0.0000
0.5000 0.5000 0.0000
0.1581 0.6581 0.5000
0.6581 0.8419 0.5000
0.8419 0.3419 0.5000
0.3419 0.1581 0.5000
```



# 10
Y2CdAg: optimized geometry, PBE-GGA.

Computed properties:
For the volume, the calculation gives 28.0 Å³/atom. For the energy relative to the elements, the calculation gives 1.6 eV/f.u. As for the space group: No. 71.

The structure in POSCAR format:
```
Y2CdAg
1.0
5.8787 -2.1929 -3.5469
-2.0847 5.9179 3.5469
-4.2430 0.5270 5.8024
Y Cd Ag
2 1 1
direct
0.0000 0.2189 0.2189
0.0000 0.7811 0.7811
0.0000 0.5000 0.5000
0.0000 0.0000 0.0000
```



# 11
Mg4Tl4In: optimized geometry, PBE-GGA.

Computed properties:
For the volume, the calculation gives 25.8 Å³/atom. For the energy relative to the elements, the calculation gives -0.1 eV/f.u. As for the space group: No. 139.

The structure in POSCAR format:
```
Mg4Tl4In
1.0
-0.7315 2.7604 3.6558
-2.5487 -4.1887 5.5961
6.2652 0.2541 4.0050
Mg Tl In
4 4 1
direct
0.1638 0.1724 0.0000
0.8362 0.8276 0.0000
0.8362 0.5000 0.3276
0.1638 0.5000 0.6724
0.5003 0.1797 0.3197
0.4997 0.8203 0.6803
0.1800 0.8197 0.3203
0.8200 0.1803 0.6797
0.5000 0.5000 0.0000
```



# 12
ScTiNi2: optimized geometry, PBE-GGA.

Computed properties:
For the volume, the calculation gives 15.6 Å³/atom. For the energy relative to the elements, the calculation gives 0.0 eV/f.u. As for the space group: No. 122.

The structure in POSCAR format:
```
ScTiNi2
1.0
6.7987 0.0000 0.0000
0.0000 6.7987 0.0000
3.3994 3.3994 2.6971
Sc Ni Ti
2 4 2
direct
0.5000 0.5000 0.0000
0.2500 0.7500 0.5000
0.6470 0.1250 0.2500
0.1030 0.6250 0.2500
0.3750 0.3530 0.7500
0.8750 0.8970 0.7500
0.0000 0.0000 0.0000
0.7500 0.2500 0.5000
```



# 13
LiCoP2Ru: optimized geometry, PBE-GGA.

Computed properties:
For the volume, the calculation gives 13.8 Å³/atom. For the energy relative to the elements, the calculation gives -3.2 eV/f.u. As for the space group: No. 119.

The structure in POSCAR format:
```
LiCoP2Ru
1.0
-2.3773 -2.3837 1.8862
2.5368 -2.8751 -0.4361
1.9378 3.7994 3.2963
Li Co P Ru
1 1 2 1
direct
0.0000 0.0000 0.0000
0.7500 0.2500 0.5000
0.6216 0.6216 0.2432
0.3784 0.3784 0.7568
0.2500 0.7500 0.5000
```



# 14
NdCo4Sb12: optimized geometry, PBE-GGA.

Computed properties:
The energy relative to the elements, uncorrected comes out at -0.241 eV per atom. For the volume, the calculation gives 23.0 Å³/atom. As for the space group: No. 204.

The structure in POSCAR format:
```
NdCo4Sb12
1.0
-2.1400 4.6772 -6.0982
4.4639 -6.0299 -2.7125
-6.5309 -2.9089 3.5396
Nd Co Sb
1 4 12
direct
0.0000 0.0000 0.0000
0.0000 0.5000 0.0000
0.5000 0.0000 0.0000
0.5000 0.5000 0.5000
0.0000 0.0000 0.5000
0.8391 0.3332 0.1723
0.3332 0.4941 0.1609
0.8277 0.1609 0.6668
0.3332 0.1723 0.8391
0.1723 0.8391 0.3332
0.6668 0.5059 0.8391
0.4941 0.1609 0.3332
0.5059 0.8391 0.6668
0.6668 0.8277 0.1609
0.8391 0.6668 0.5059
0.1609 0.3332 0.4941
0.1609 0.6668 0.8277
```



# 15
SmDy4Ho2Er2: optimized geometry, PBE-GGA.

Computed properties:
For the volume, the calculation gives 31.4 Å³/atom. For the energy relative to the elements, the calculation gives 0.0 eV/f.u. As for the space group: No. 12.

The structure in POSCAR format:
```
SmDy4Ho2Er2
1.0
3.5703 0.0000 0.0000
-1.7851 9.2561 -0.5005
0.0000 -3.6493 8.7568
Sm Dy Ho Er
1 4 2 2
direct
0.0000 0.0000 0.0000
0.8143 0.6286 0.6656
0.1857 0.3714 0.3344
0.5186 0.0373 0.3350
0.4814 0.9627 0.6650
0.8518 0.7036 0.3330
0.1482 0.2964 0.6670
0.3323 0.6646 0.9998
0.6677 0.3354 0.0002
```



# 16
Sm2AlIn3: optimized geometry, PBE-GGA.

Computed properties:
The distance to the lowest polymorph of the same formula comes out at 0.0 meV per atom. For the volume, the calculation gives 25.2 Å³/atom. For the energy relative to the elements, the calculation gives -2.7 eV/f.u. As for the space group: No. 25.

The structure in POSCAR format:
```
Sm2AlIn3
1.0
-2.9420 -1.8498 1.1252
2.8647 -3.7072 1.3956
0.7546 3.4788 7.6919
Sm Al In
2 1 3
direct
0.0000 0.5000 0.0083
0.0000 0.0000 0.4937
0.5000 0.5000 0.3307
0.5000 0.0000 0.8352
0.5000 0.0000 0.1749
0.5000 0.5000 0.6572
```



# 17
Co3SiH: optimized geometry, PBE-GGA.

Computed properties:
The distance to the lowest polymorph of the same formula comes out at 101.1 meV per atom. For the volume, the calculation gives 9.0 Å³/atom. As for the space group: No. 11.

The structure in POSCAR format:
```
Co3SiH
1.0
-3.9547 1.5747 0.2473
-1.8848 -4.5483 -1.1792
0.9216 -1.4171 3.9930
H Si Co
2 2 6
direct
0.0226 0.2500 0.4675
0.9774 0.7500 0.5325
0.7042 0.2500 0.7633
0.2958 0.7500 0.2367
0.7902 0.9957 0.2192
0.2098 0.0043 0.7808
0.7902 0.5043 0.2192
0.2098 0.4957 0.7808
0.3143 0.2500 0.2883
0.6857 0.7500 0.7117
```



# 18
Mg5Ir: optimized geometry, PBE-GGA.

Computed properties:
The distance to the lowest polymorph of the same formula comes out at 10.3 meV per atom. For the volume, the calculation gives 19.1 Å³/atom. For the energy relative to the elements, the calculation gives -1.0 eV/f.u. As for the space group: No. 65.

The structure in POSCAR format:
```
Mg5Ir
1.0
-5.2032 -3.2952 -1.3512
3.2991 1.8748 5.0357
-2.3934 3.7014 0.1900
Ir Mg
1 5
direct
0.9722 0.0278 0.0000
0.8195 0.1805 0.5000
0.6231 0.3769 0.0000
0.4723 0.5277 0.5000
0.3214 0.6786 0.0000
0.1249 0.8751 0.5000
```



# 19
BiBH2: optimized geometry, PBE-GGA.

Computed properties:
The distance to the lowest polymorph of the same formula comes out at 0.0 meV per atom. For the volume, the calculation gives 11.4 Å³/atom. As for the space group: No. 227.

The structure in POSCAR format:
```
BiBH2
1.0
5.0467 0.0000 0.0000
0.0000 5.0467 0.0000
2.5233 2.5233 3.5684
H B Bi
4 2 2
direct
0.3748 0.1250 0.2500
0.3752 0.6250 0.2500
0.3750 0.6252 0.7500
0.8750 0.6248 0.7500
0.5000 0.5000 0.0000
0.2500 0.7500 0.5000
0.0000 0.0000 0.0000
0.7500 0.2500 0.5000
```



# 20
AlAsIr2: optimized geometry, PBE-GGA.

Computed properties:
The distance to the lowest polymorph of the same formula comes out at 16.8 meV per atom. For the volume, the calculation gives 14.7 Å³/atom. For the energy relative to the elements, the calculation gives -1.2 eV/f.u. As for the space group: No. 47.

The structure in POSCAR format:
```
AlAsIr2
1.0
2.9646 0.0000 0.0000
0.0000 3.4099 0.0000
0.0000 0.0000 5.8327
As Ir Al
1 2 1
direct
0.5000 0.5000 0.7500
0.0000 0.0000 0.0086
0.0000 0.0000 0.4914
0.5000 0.5000 0.2500
```